Below is a relaxed NaLiSnTe3 crystal, with properties calculated at the PBE level.

ΔE_f (raw), eV per atom: -0.509
Fermi-level density of states, states/eV/f.u.: 1.025
Total energy, eV/atom: -3.286

Cell and atoms, written as POSCAR:
```
NaLiSnTe3
1.0
9.2771 0.0000 0.0000
0.0000 4.3794 0.0000
-2.5236 0.0000 9.0086
Na Li Sn Te
2 2 2 6
direct
0.2112 0.2500 0.2565 Na
0.7888 0.7500 0.7435 Na
0.0801 0.2500 0.5866 Li
0.9199 0.7500 0.4134 Li
0.3179 0.7500 0.8476 Sn
0.6821 0.2500 0.1524 Sn
0.1087 0.2500 0.8887 Te
0.2287 0.7500 0.5223 Te
0.4520 0.7500 0.1684 Te
0.5480 0.2500 0.8316 Te
0.7713 0.2500 0.4777 Te
0.8913 0.7500 0.1113 Te
```